No. 1
## NaAc4Cu3O12 (GGA-PBE)

Data for a relaxed structure of NaAc4Cu3O12.

a b c (Å): 6.887 6.887 6.887
angles (deg): 109.47 109.47 109.47
Fractional coordinates of all 20 atoms:
Na1 0.000 0.000 0.000
Ac1 0.000 0.000 0.500
Ac2 0.000 0.500 0.000
Ac3 0.500 0.000 0.000
Ac4 0.500 0.500 0.500
Cu1 0.000 0.500 0.500
Cu2 0.500 0.000 0.500
Cu3 0.500 0.500 0.000
O1 0.000 0.269 0.269
O2 0.000 0.731 0.731
O3 0.250 0.500 0.750
O4 0.250 0.750 0.500
O5 0.269 0.000 0.269
O6 0.269 0.269 0.000
O7 0.500 0.250 0.750
O8 0.500 0.750 0.250
O9 0.731 0.000 0.731
O10 0.731 0.731 0.000
O11 0.750 0.250 0.500
O12 0.750 0.500 0.250

Summary:
Formation energy without anion corrections = -40.0 eV per formula unit
M_tot = 0.000 μB/f.u.
Uncorrected energy = -6.48 eV per atom


No. 2
## MgMn2Tl (GGA-PBE)

Data for a relaxed structure of MgMn2Tl.

a b c (Å): 3.229 3.770 5.988
angles (deg): 90.00 90.00 90.00
Fractional coordinates of all 4 atoms:
Mg1 0.000 0.000 0.000
Mn1 0.500 0.500 0.240
Mn2 0.500 0.500 0.760
Tl1 0.000 0.000 0.500

Summary:
M_tot = 7.021 μB/f.u.
Uncorrected energy = -5.19 eV per atom


No. 3
## Sr4Mg3Hg (GGA-PBE)

Data for a relaxed structure of Sr4Mg3Hg.

a b c (Å): 4.053 4.053 17.178
angles (deg): 90.00 90.00 90.00
Fractional coordinates of all 8 atoms:
Sr1 0.000 0.000 0.114
Sr2 0.000 0.000 0.372
Sr3 0.000 0.000 0.628
Sr4 0.000 0.000 0.886
Mg1 0.500 0.500 0.246
Mg2 0.500 0.500 0.500
Mg3 0.500 0.500 0.754
Hg1 0.500 0.500 0.000

Summary:
M_tot = 0.000 μB/f.u.
Uncorrected energy = -1.65 eV per atom


No. 4
## CsLiAg2 (GGA-PBE)

Data for a relaxed structure of CsLiAg2.

a b c (Å): 7.172 7.172 7.172
angles (deg): 39.20 39.20 39.20
Fractional coordinates of all 4 atoms:
Cs1 0.000 0.000 0.000
Li1 0.500 0.500 0.500
Ag1 0.182 0.182 0.182
Ag2 0.818 0.818 0.818

Summary:
Polymorph energy (0 for the lowest one) = 0.000 eV/atom
M_tot = 0.000 μB/f.u.
Uncorrected energy = -2.16 eV per atom


No. 5
## ZrTc2MoH (GGA-PBE)

Data for a relaxed structure of ZrTc2MoH.

a b c (Å): 4.495 4.495 3.427
angles (deg): 90.00 90.00 90.00
Fractional coordinates of all 5 atoms:
Zr1 0.000 0.000 0.000
Tc1 0.000 0.500 0.500
Tc2 0.500 0.000 0.500
Mo1 0.500 0.500 0.000
H1 0.500 0.500 0.500

Summary:
M_tot = 0.000 μB/f.u.
Uncorrected energy = -8.64 eV per atom


No. 6
## ZnInIr2 (GGA-PBE)

Data for a relaxed structure of ZnInIr2.

a b c (Å): 5.995 5.995 5.995
angles (deg): 153.08 134.56 53.61
Fractional coordinates of all 4 atoms:
Zn1 0.000 0.000 0.000
In1 0.500 0.500 0.000
Ir1 0.231 0.231 0.000
Ir2 0.769 0.769 0.000

Summary:
M_tot = 0.000 μB/f.u.
Uncorrected energy = -5.03 eV per atom


- Which formula does entry 1 have?
  NaAc4Cu3O12


- What is the M_tot in the first record?
  0.000 μB/f.u.


- Which value of uncorrected energy does entry 3 give?
  -1.65 eV per atom